[1]
GeS2Br at its PBEsol-relaxed geometry, computed with SCAN.

Unit cell a=6.191 b=6.191 c=6.191 alpha=112.80 beta=112.80 gamma=103.00
Element x y z (fractional)
Ge1 0.000 0.000 0.000
Ge2 0.750 0.250 0.500
S1 0.045 0.125 0.420
S2 0.375 0.955 0.080
S3 0.705 0.625 0.580
S4 0.875 0.295 0.920
Br1 0.250 0.750 0.500
Br2 0.500 0.500 0.000

Computed properties:
Total magnetization   0.00 μB per formula unit
Uncorrected formation energy   0.140 eV/atom
DFT total energy   -14.311 eV per atom

[2]
Hf3MgTc at its PBEsol-relaxed geometry, computed with SCAN.

Unit cell a=4.951 b=4.951 c=4.951 alpha=90.00 beta=90.00 gamma=90.00
Element x y z (fractional)
Hf1 0.000 0.000 0.500
Hf2 0.000 0.500 0.000
Hf3 0.500 0.000 0.000
Mg1 0.500 0.500 0.500
Tc1 0.000 0.000 0.000

Computed properties:
Total magnetization   0.00 μB per formula unit
ΔH_f (0 K)   0.40 eV per atom
DFT total energy   -45.206 eV per atom

[3]
CuAgPd2Br at its PBEsol-relaxed geometry, computed with SCAN.

Unit cell a=4.586 b=4.586 c=4.697 alpha=90.00 beta=90.00 gamma=90.00
Element x y z (fractional)
Cu1 0.000 0.000 0.000
Ag1 0.000 0.000 0.500
Pd1 0.000 0.500 0.000
Pd2 0.500 0.000 0.000
Br1 0.500 0.500 0.500

Computed properties:
Total magnetization   0.00 μB per formula unit
Uncorrected formation energy   0.612 eV/atom
DFT total energy   -25.703 eV per atom

[4]
TlSiSCl2 at its PBEsol-relaxed geometry, computed with SCAN.

Unit cell a=5.148 b=5.148 c=5.088 alpha=90.00 beta=90.00 gamma=90.00
Element x y z (fractional)
Tl1 0.000 0.000 0.000
Si1 0.500 0.500 0.500
S1 0.000 0.000 0.500
Cl1 0.000 0.500 0.000
Cl2 0.500 0.000 0.000

Computed properties:
Total magnetization   0.64 μB per formula unit
Uncorrected formation energy   0.389 eV/atom
DFT total energy   -21.203 eV per atom

[5]
SrLi2Si at its PBEsol-relaxed geometry, computed with SCAN.

Unit cell a=3.335 b=4.053 c=6.630 alpha=90.00 beta=90.00 gamma=90.00
Element x y z (fractional)
Sr1 0.000 0.000 0.000
Li1 0.500 0.500 0.322
Li2 0.500 0.500 0.678
Si1 0.000 0.000 0.500

Computed properties:
Total magnetization   0.00 μB per formula unit
Uncorrected formation energy   0.088 eV/atom
DFT total energy   -9.179 eV per atom

[6]
SiGeI2O at its PBEsol-relaxed geometry, computed with SCAN.

Unit cell a=5.569 b=5.569 c=3.501 alpha=90.00 beta=90.00 gamma=90.00
Element x y z (fractional)
Si1 0.000 0.000 0.000
Ge1 0.500 0.500 0.500
I1 0.000 0.500 0.000
I2 0.500 0.000 0.000
O1 0.000 0.000 0.500

Computed properties:
Total magnetization   0.00 μB per formula unit
Uncorrected formation energy   -0.179 eV/atom
DFT total energy   -21.943 eV per atom

[7]
Zn2RuBr at its PBEsol-relaxed geometry, computed with SCAN.

Unit cell a=6.531 b=6.531 c=6.531 alpha=153.98 beta=143.14 gamma=45.67
Element x y z (fractional)
Zn1 0.000 0.000 0.000
Zn2 0.640 0.140 0.500
Ru1 0.469 0.469 0.000
Br1 0.298 0.798 0.500

Computed properties:
Total magnetization   0.00 μB per formula unit
Uncorrected formation energy   0.154 eV/atom
DFT total energy   -20.175 eV per atom

[8]
SrAl2TcBi at its PBEsol-relaxed geometry, computed with SCAN.

Unit cell a=5.453 b=5.453 c=4.835 alpha=90.00 beta=90.00 gamma=90.00
Element x y z (fractional)
Sr1 0.000 0.000 0.000
Al1 0.000 0.500 0.000
Al2 0.500 0.000 0.000
Tc1 0.000 0.000 0.500
Bi1 0.500 0.500 0.500

Computed properties:
Total magnetization   2.06 μB per formula unit
ΔH_f (0 K)   1.90 eV per atom
DFT total energy   -28.387 eV per atom

[9]
LaTeCl at its PBEsol-relaxed geometry, computed with SCAN.

Unit cell a=4.935 b=4.935 c=4.935 alpha=60.00 beta=60.00 gamma=60.00
Element x y z (fractional)
La1 0.000 0.000 0.000
Te1 0.500 0.500 0.500
Cl1 0.250 0.250 0.250

Computed properties:
Total magnetization   0.00 μB per formula unit
Uncorrected formation energy   -1.646 eV/atom
DFT total energy   -31.091 eV per atom

[10]
As2RhSe at its PBEsol-relaxed geometry, computed with SCAN.

Unit cell a=7.018 b=7.018 c=7.018 alpha=29.38 beta=29.38 gamma=29.38
Element x y z (fractional)
As1 0.000 0.000 0.000
As2 0.259 0.259 0.259
Rh1 0.754 0.754 0.754
Se1 0.484 0.484 0.484

Computed properties:
Total magnetization   0.00 μB per formula unit
Uncorrected formation energy   -0.067 eV/atom
DFT total energy   -23.625 eV per atom

[11]
Mg3Tl2 at its PBEsol-relaxed geometry, computed with SCAN.

Unit cell a=12.512 b=12.512 c=12.512 alpha=15.35 beta=15.35 gamma=15.35
Element x y z (fractional)
Mg1 0.000 0.000 0.000
Mg2 0.201 0.201 0.201
Mg3 0.799 0.799 0.799
Tl1 0.399 0.399 0.399
Tl2 0.601 0.601 0.601

Computed properties:
Total magnetization   0.00 μB per formula unit
ΔH_f (0 K)   -0.07 eV per atom
DFT total energy   -31.998 eV per atom

[12]
Cs2YHgI6 at its PBEsol-relaxed geometry, computed with SCAN.

Unit cell a=8.616 b=8.616 c=8.616 alpha=60.00 beta=60.00 gamma=60.00
Element x y z (fractional)
Cs1 0.250 0.250 0.250
Cs2 0.750 0.750 0.750
Y1 0.000 0.000 0.000
Hg1 0.500 0.500 0.500
I1 0.245 0.245 0.755
I2 0.245 0.755 0.245
I3 0.245 0.755 0.755
I4 0.755 0.245 0.245
I5 0.755 0.245 0.755
I6 0.755 0.755 0.245

Computed properties:
Total magnetization   0.00 μB per formula unit
Uncorrected formation energy   -1.296 eV/atom
DFT total energy   -40.504 eV per atom

[13]
LiRh2Br at its PBEsol-relaxed geometry, computed with SCAN.

Unit cell a=3.273 b=3.273 c=6.035 alpha=90.00 beta=90.00 gamma=90.00
Element x y z (fractional)
Li1 0.000 0.000 0.000
Rh1 0.000 0.000 0.443
Rh2 0.500 0.500 0.276
Br1 0.500 0.500 0.834

Computed properties:
Total magnetization   1.80 μB per formula unit
Uncorrected formation energy   -0.011 eV/atom
DFT total energy   -22.359 eV per atom

[14]
Cu2IrAu at its PBEsol-relaxed geometry, computed with SCAN.

Unit cell a=2.631 b=4.349 c=4.839 alpha=90.00 beta=92.22 gamma=90.00
Element x y z (fractional)
Cu1 0.208 0.000 0.232
Cu2 0.792 0.000 0.768
Ir1 0.500 0.500 0.000
Au1 0.000 0.500 0.500

Computed properties:
Total magnetization   0.41 μB per formula unit
ΔH_f (0 K)   0.22 eV per atom
DFT total energy   -42.445 eV per atom

[15]
NaTl2In2 at its PBEsol-relaxed geometry, computed with SCAN.

Unit cell a=8.645 b=8.645 c=3.726 alpha=90.00 beta=90.00 gamma=90.00
Element x y z (fractional)
Na1 0.000 0.000 0.000
Na2 0.500 0.500 0.000
Tl1 0.149 0.351 0.000
Tl2 0.351 0.851 0.000
Tl3 0.649 0.149 0.000
Tl4 0.851 0.649 0.000
In1 0.148 0.648 0.500
In2 0.352 0.148 0.500
In3 0.648 0.852 0.500
In4 0.852 0.352 0.500

Computed properties:
Total magnetization   0.00 μB per formula unit
ΔH_f (0 K)   -0.04 eV per atom
DFT total energy   -43.177 eV per atom

[16]
TlSbPb2 at its PBEsol-relaxed geometry, computed with SCAN.

Unit cell a=6.191 b=6.191 c=6.191 alpha=138.92 beta=131.18 gamma=65.65
Element x y z (fractional)
Tl1 0.000 0.000 0.000
Sb1 0.755 0.255 0.500
Pb1 0.257 0.757 0.500
Pb2 0.525 0.525 0.000

Computed properties:
Total magnetization   0.00 μB per formula unit
Uncorrected formation energy   0.040 eV/atom
DFT total energy   -65.255 eV per atom

[17]
MnRuRh at its PBEsol-relaxed geometry, computed with SCAN.

Unit cell a=2.614 b=2.614 c=6.332 alpha=90.00 beta=90.00 gamma=120.00
Element x y z (fractional)
Mn1 0.000 0.000 0.000
Ru1 0.667 0.333 0.311
Rh1 0.333 0.667 0.673

Computed properties:
Total magnetization   2.40 μB per formula unit
ΔH_f (0 K)   0.00 eV per atom
DFT total energy   -28.950 eV per atom

[18]
SmAsO4 at its PBEsol-relaxed geometry, computed with SCAN.

Unit cell a=6.009 b=6.009 c=6.009 alpha=106.40 beta=106.40 gamma=115.80
Element x y z (fractional)
Sm1 0.375 0.625 0.750
Sm2 0.625 0.375 0.250
As1 0.125 0.875 0.250
As2 0.875 0.125 0.750
O1 0.132 0.701 0.431
O2 0.229 0.299 0.931
O3 0.299 0.229 0.431
O4 0.299 0.868 0.069
O5 0.701 0.132 0.931
O6 0.701 0.771 0.569
O7 0.771 0.701 0.069
O8 0.868 0.299 0.569

Computed properties:
Total magnetization   0.00 μB per formula unit
Uncorrected formation energy   -2.607 eV/atom
DFT total energy   -17.533 eV per atom

[19]
SrAsRu2 at its PBEsol-relaxed geometry, computed with SCAN.

Unit cell a=4.426 b=4.426 c=3.389 alpha=90.00 beta=90.00 gamma=90.00
Element x y z (fractional)
Sr1 0.000 0.000 0.000
As1 0.500 0.500 0.000
Ru1 0.000 0.500 0.500
Ru2 0.500 0.000 0.500

Computed properties:
Total magnetization   0.00 μB per formula unit
ΔH_f (0 K)   0.46 eV per atom
DFT total energy   -27.566 eV per atom

[20]
KH3N at its PBEsol-relaxed geometry, computed with SCAN.

Unit cell a=3.322 b=3.322 c=3.322 alpha=90.00 beta=90.00 gamma=90.00
Element x y z (fractional)
K1 0.000 0.000 0.000
H1 0.000 0.500 0.500
H2 0.500 0.000 0.500
H3 0.500 0.500 0.000
N1 0.500 0.500 0.500

Computed properties:
Total magnetization   0.31 μB per formula unit
DFT total energy   -4.816 eV per atom